# Be2TcAg | Alexandria via LeMat-Bulk | PBE | optimized geometry
data_Be2TcAg
_space_group_name_H-M_alt 'R -3 m'
_space_group_IT_number 166
_space_group_name_Hall '-R 3 2"'
_cell_length_a 2.7306
_cell_length_b 2.7306
_cell_length_c 23.7076
_cell_angle_alpha 90.00
_cell_angle_beta 90.00
_cell_angle_gamma 120.00
loop_
_atom_site_label
_atom_site_fract_x
_atom_site_fract_y
_atom_site_fract_z
Be1 0.0000 0.0000 0.2470
Tc1 0.0000 0.0000 0.5000
Ag1 0.0000 0.0000 0.0000
# energy	-19.83	eV per formula unit
# energy above the lowest structure with this stoichiometry	141	meV/atom
# energy of formation from the pure elements	0.211	eV/atom
# DOS at the Fermi energy	6.761	states/eV/cell
# density	7.3	g cm⁻³


# LiTlRhF6 | Alexandria via LeMat-Bulk | PBE | optimized geometry
data_LiTlRhF6
_space_group_name_H-M_alt 'C m m 2'
_space_group_IT_number 35
_cell_length_a 7.0623
_cell_length_b 7.6077
_cell_length_c 10.0752
_cell_angle_alpha 90.00
_cell_angle_beta 90.00
_cell_angle_gamma 90.00
loop_
_space_group_symop_operation_xyz
'x,y,z'
'-x,-y,z'
'-x,y,z'
'x,-y,z'
'x+1/2,y+1/2,z'
'-x+1/2,-y+1/2,z'
'-x+1/2,y+1/2,z'
'x+1/2,-y+1/2,z'
loop_
_atom_site_label
_atom_site_fract_x
_atom_site_fract_y
_atom_site_fract_z
Li1 0.0000 0.0000 0.0000
Li2 0.0000 0.5000 0.4488
Tl1 0.0000 0.0000 0.6501
Tl2 0.0000 0.5000 0.1204
Rh1 0.0000 0.0000 0.3133
Rh2 0.0000 0.5000 0.7748
F1 0.0000 0.1622 0.1571
F2 0.0000 0.1765 0.4608
F3 0.0000 0.2372 0.7873
F4 0.1808 0.5000 0.6222
F5 0.2155 0.5000 0.3246
F6 0.2218 0.5000 0.8992
# energy	-40.08	eV per formula unit
# E_form (uncorrected)	-44.13	kcal/mol of atoms
# DOS at the Fermi energy	15.954	states/eV/cell
# density	5.3	g cm⁻³


# In5Ga12Si3 | Alexandria via LeMat-Bulk | PBE | optimized geometry
data_In5Ga12Si3
_space_group_name_H-M_alt 'I a -3 d'
_space_group_IT_number 230
_space_group_name_Hall '-I 4bd 2c 3'
_cell_length_a 15.7096
_cell_length_b 15.7096
_cell_length_c 15.7096
_cell_angle_alpha 90.00
_cell_angle_beta 90.00
_cell_angle_gamma 90.00
loop_
_atom_site_label
_atom_site_fract_x
_atom_site_fract_y
_atom_site_fract_z
In1 0.0000 0.0000 0.0000
In2 0.0000 0.2500 0.3750
Ga1 0.0157 0.0903 0.6519
Si1 0.0000 0.2500 0.1250
# energy	-61.88	eV per formula unit
# E_form (uncorrected)	5.07	kcal/mol of atoms
# DOS at the Fermi energy	66.264	states/eV/cell
# density	5.1	g cm⁻³


# Nb6OsRh2 | Alexandria via LeMat-Bulk | PBE | optimized geometry
data_Nb6OsRh2
_space_group_name_H-M_alt 'I m m m'
_space_group_IT_number 71
_space_group_name_Hall '-I 2 2'
_cell_length_a 4.3147
_cell_length_b 6.1906
_cell_length_c 13.3393
_cell_angle_alpha 90.00
_cell_angle_beta 90.00
_cell_angle_gamma 90.00
loop_
_atom_site_label
_atom_site_fract_x
_atom_site_fract_y
_atom_site_fract_z
Nb1 0.0000 0.2414 0.0000
Nb2 0.0000 0.2512 0.3408
Os1 0.0000 0.0000 0.5000
Rh1 0.0000 0.0000 0.1834
# energy	-84.49	eV per formula unit
# energy of formation from the pure elements	0.206	eV/atom
# DOS at the Fermi energy	17.162	states/eV/cell
# density	8.9	g cm⁻³


# NdCo2Si | Alexandria via LeMat-Bulk | PBE | optimized geometry
data_NdCo2Si
_space_group_name_H-M_alt 'P 4/n m m'
_space_group_IT_number 129
_cell_length_a 3.8512
_cell_length_b 3.8512
_cell_length_c 9.1134
_cell_angle_alpha 90.00
_cell_angle_beta 90.00
_cell_angle_gamma 90.00
loop_
_space_group_symop_operation_xyz
'x,y,z'
'-x,-y,-z'
'-y+1/2,x,z'
'y+1/2,-x,-z'
'-x+1/2,-y+1/2,z'
'x+1/2,y+1/2,-z'
'y,-x+1/2,z'
'-y,x+1/2,-z'
'x+1/2,-y,-z'
'-x+1/2,y,z'
'-y,-x,-z'
'y,x,z'
'-x,y+1/2,-z'
'x,-y+1/2,z'
'y+1/2,x+1/2,-z'
'-y+1/2,-x+1/2,z'
loop_
_atom_site_label
_atom_site_fract_x
_atom_site_fract_y
_atom_site_fract_z
Nd1 0.2500 0.2500 0.2075
Co1 0.2500 0.2500 0.8884
Co2 0.2500 0.7500 0.5000
Si1 0.2500 0.2500 0.6348
# energy	-25.62	eV per formula unit
# energy above the lowest structure with this stoichiometry	153	meV/atom
# E_form (uncorrected)	-7.04	kcal/mol of atoms
# DOS at the Fermi energy	7.731	states/eV/cell
# density	7.1	g cm⁻³


# Ac8CuTe4P3 | Alexandria via LeMat-Bulk | PBE | optimized geometry
data_Ac8CuTe4P3
_space_group_name_H-M_alt 'R -3 m'
_space_group_IT_number 166
_space_group_name_Hall '-R 3 2"'
_cell_length_a 9.0890
_cell_length_b 9.0890
_cell_length_c 23.0552
_cell_angle_alpha 90.00
_cell_angle_beta 90.00
_cell_angle_gamma 120.00
loop_
_atom_site_label
_atom_site_fract_x
_atom_site_fract_y
_atom_site_fract_z
Ac1 0.0000 0.0000 0.2387
Ac2 0.0032 0.5016 0.7596
Cu1 0.0000 0.0000 0.5000
Te1 0.0000 0.0000 0.0000
Te2 0.0000 0.5000 0.0000
P1 0.0000 0.5000 0.5000
# energy	-87.23	eV per formula unit
# E_form (uncorrected)	-30.94	kcal/mol of atoms
# DOS at the Fermi energy	33.035	states/eV/cell
# density	7.5	g cm⁻³


# NaDyTlPd | Alexandria via LeMat-Bulk | PBE | optimized geometry
data_NaDyTlPd
_space_group_name_H-M_alt 'F -4 3 m'
_space_group_IT_number 216
_space_group_name_Hall 'F -4 2 3'
_cell_length_a 7.1778
_cell_length_b 7.1778
_cell_length_c 7.1778
_cell_angle_alpha 90.00
_cell_angle_beta 90.00
_cell_angle_gamma 90.00
loop_
_atom_site_label
_atom_site_fract_x
_atom_site_fract_y
_atom_site_fract_z
Na1 0.0000 0.0000 0.0000
Dy1 0.0000 0.0000 0.5000
Tl1 0.2500 0.2500 0.2500
Pd1 0.2500 0.2500 0.7500
# energy	-14.60	eV per formula unit
# energy of formation from the pure elements	-0.279	eV/atom
# DOS at the Fermi energy	14.383	states/eV/cell
# density	8.9	g cm⁻³


# Cd2AsPd | Alexandria via LeMat-Bulk | PBE | optimized geometry
data_Cd2AsPd
_space_group_name_H-M_alt 'P 4/m m m'
_space_group_IT_number 123
_space_group_name_Hall '-P 4 2'
_cell_length_a 4.3140
_cell_length_b 4.3140
_cell_length_c 4.0795
_cell_angle_alpha 90.00
_cell_angle_beta 90.00
_cell_angle_gamma 90.00
loop_
_atom_site_label
_atom_site_fract_x
_atom_site_fract_y
_atom_site_fract_z
Cd1 0.0000 0.5000 0.0000
As1 0.0000 0.0000 0.5000
Pd1 0.5000 0.5000 0.5000
# energy	-12.14	eV per formula unit
# energy of formation from the pure elements	-0.118	eV/atom
# DOS at the Fermi energy	1.494	states/eV/cell
# density	8.9	g cm⁻³